The following is a GGA-PBE calculation of Sm2Y2CI3Br2 after structural relaxation, from OQMD.

POSCAR file:
```
Sm2Y2CI3Br2
1.0
9.3435 -1.9878 0.0000
9.3435 1.9878 0.0000
-1.9054 0.0000 8.5273
Y C I Br Sm
2 1 3 2 2
Direct
0.3681 0.3681 0.9387 Y
0.6319 0.6319 0.0613 Y
0.5000 0.5000 0.0000 C
0.1699 0.1699 0.3321 I
0.8301 0.8301 0.6679 I
0.5000 0.5000 0.5000 I
0.8331 0.8331 0.1543 Br
0.1669 0.1669 0.8457 Br
0.9986 0.9986 0.1932 Sm
0.0014 0.0014 0.8068 Sm
```

Crystal system: monoclinic
Raw total energy, Ry per atom: -0.3823
Energy above the lowest structure with this stoichiometry, meV per atom: 6
SG: C2/m



The following is a GGA-PBE calculation of NdErSc after structural relaxation, from OQMD.

POSCAR file:
```
NdErSc
1.0
0.0000 3.7337 3.7337
3.7337 0.0000 3.7337
3.7337 3.7337 0.0000
Er Nd Sc
1 1 1
Direct
0.2500 0.2500 0.2500 Er
0.7500 0.7500 0.7500 Nd
0.0000 0.0000 0.0000 Sc
```

Crystal system: cubic
Raw total energy, Ry per atom: -0.3336
Energy above the lowest structure with this stoichiometry, meV per atom: 0
SG: F-43m
Formation energy, meV per atom: 680



The following is a GGA-PBE calculation of ZrAgNO after structural relaxation, from OQMD.

POSCAR file:
```
ZrAgNO
1.0
3.5102 0.0000 0.0000
0.0000 3.5102 0.0000
0.0000 0.0000 8.0387
Zr Ag N O
2 2 2 2
Direct
0.7500 0.7500 0.8405 Zr
0.2500 0.2500 0.1595 Zr
0.7500 0.2500 0.5000 Ag
0.2500 0.7500 0.5000 Ag
0.2500 0.2500 0.7348 N
0.7500 0.7500 0.2652 N
0.7500 0.2500 0.0000 O
0.2500 0.7500 0.0000 O
```

Crystal system: tetragonal
Raw total energy, Ry per atom: -0.5195
Energy above the lowest structure with this stoichiometry, meV per atom: 415
SG: P4/nmm



The following is a GGA-PBE calculation of TbTmGa4Pt2 after structural relaxation, from OQMD.

POSCAR file:
```
TbTmGa4Pt2
1.0
6.7117 0.0000 0.0000
0.0000 2.1806 5.0700
0.0000 -2.1806 5.0700
Ga Pt Tb Tm
4 2 1 1
Direct
0.3033 0.6304 0.6304 Ga
0.6967 0.6304 0.6304 Ga
0.1987 0.3705 0.3705 Ga
0.8013 0.3705 0.3705 Ga
0.0000 0.7950 0.7950 Pt
0.5000 0.2044 0.2044 Pt
0.0000 0.0836 0.0836 Tb
0.5000 0.9153 0.9153 Tm
```

Crystal system: orthorhombic
Raw total energy, Ry per atom: -0.3743
SG: Amm2



The following is a GGA-PBE calculation of Zr4O11 after structural relaxation, from OQMD.

POSCAR file:
```
Zr4O11
1.0
-5.6576 -11.9003 0.2893
-2.9547 6.0059 0.0687
2.0630 -0.0047 -2.9427
O Zr
11 4
Direct
0.9777 0.5973 0.2783 O
0.5644 0.1297 0.2293 O
0.2957 0.9729 0.2787 O
0.7442 0.7893 0.1476 O
0.4051 0.4793 0.1415 O
0.5775 0.4876 0.8285 O
0.0070 0.3665 0.6918 O
0.4213 0.8431 0.7385 O
0.6877 0.9950 0.6942 O
0.9892 0.9773 0.9798 O
0.2381 0.1779 0.8225 O
0.0718 0.8141 0.9751 Zr
0.5730 0.8172 0.9917 Zr
0.9110 0.1498 0.9933 Zr
0.4103 0.1508 0.9824 Zr
```

Crystal system: triclinic
Raw total energy, Ry per atom: -0.6065
Energy above the lowest structure with this stoichiometry, meV per atom: 30
SG: P1



The following is a GGA-PBE calculation of PaTlCd after structural relaxation, from OQMD.

POSCAR file:
```
PaTlCd
1.0
0.0000 3.5405 3.5405
3.5405 0.0000 3.5405
3.5405 3.5405 0.0000
Tl Pa Cd
1 1 1
Direct
0.0000 0.0000 0.0000 Tl
0.7500 0.7500 0.7500 Pa
0.2500 0.2500 0.2500 Cd
```

Crystal system: cubic
Raw total energy, Ry per atom: -0.2731
Energy above the lowest structure with this stoichiometry, meV per atom: 0
SG: F-43m



The following is a GGA-PBE calculation of AlNiPtW after structural relaxation, from OQMD.

POSCAR file:
```
AlNiPtW
1.0
2.6202 -3.2669 -1.0833
-1.2008 -4.0832 0.7728
-1.0412 -2.6078 -3.2904
Al Pt W Ni
1 1 1 1
Direct
0.0000 0.0000 0.0000 Al
0.5000 0.5000 0.5000 Pt
0.2500 0.2500 0.2500 W
0.7500 0.7500 0.7500 Ni
```

Crystal system: cubic
Raw total energy, Ry per atom: -0.5293
Energy above the lowest structure with this stoichiometry, meV per atom: 52
SG: F-43m



The following is a GGA-PBE calculation of Lu4NiSN2 after structural relaxation, from OQMD.

POSCAR file:
```
Lu4NiSN2
1.0
3.4510 0.0000 0.0000
-1.7255 2.9887 0.0000
0.0000 0.0000 12.8070
Ni Lu N S
1 4 2 1
Direct
0.6667 0.3333 0.5000 Ni
0.0000 0.0000 0.3538 Lu
0.0000 0.0000 0.6462 Lu
0.6667 0.3333 0.8545 Lu
0.6667 0.3333 0.1455 Lu
0.3333 0.6667 0.7661 N
0.3333 0.6667 0.2339 N
0.0000 0.0000 0.0000 S
```

Crystal system: hexagonal
Raw total energy, Ry per atom: -0.5122
SG: P-6m2



- The highest raw total energy belongs to which entry?
  PaTlCd